Below is crystalline Ba3CaMg4 at its relaxed geometry, with properties calculated at the PBE-GGA level.

POSCAR file:
```
Ba3CaMg4
1.0
4.2735 0.0000 0.0000
0.0000 4.2735 0.0000
0.0000 0.0000 16.9725
Ba Ca Mg
3 1 4
direct
0.0000 0.0000 0.0000 Ba
0.0000 0.0000 0.2637 Ba
0.0000 0.0000 0.7363 Ba
0.0000 0.0000 0.5000 Ca
0.5000 0.5000 0.1313 Mg
0.5000 0.5000 0.3990 Mg
0.5000 0.5000 0.6010 Mg
0.5000 0.5000 0.8687 Mg
```

Calculated values
- Density of states at the Fermi level: 0.72 states/eV/atom
- Calculated density: 2.9 g/cm3
- Energy relative to the elements: -0.057 eV/atom

Below is crystalline BaCaMg2 at its relaxed geometry, with properties calculated at the PBE-GGA level.

POSCAR file:
```
BaCaMg2
1.0
4.0001 0.0000 0.0000
0.0000 5.4784 0.0000
-1.9800 0.0000 6.8078
Ba Ca Mg
1 1 2
direct
0.0000 0.0000 0.0000 Ba
0.6862 0.5000 0.3692 Ca
0.2721 0.0000 0.5414 Mg
0.3950 0.5000 0.7874 Mg
```

Calculated values
- Relative energy among the computed polymorphs: 0.054 eV per atom
- Density of states at the Fermi level: 1.05 states/eV/atom
- Calculated density: 2.5 g/cm3
- Energy relative to the elements: -0.009 eV/atom

Below is crystalline BaCaMg17 at its relaxed geometry, with properties calculated at the PBE-GGA level.

POSCAR file:
```
BaCaMg17
1.0
5.2638 3.0391 5.1418
-5.2638 3.0391 5.1418
0.0000 -6.0782 5.1418
Ba Ca Mg
1 1 17
direct
0.0000 0.0000 0.0000 Ba
0.3269 0.3269 0.3269 Ca
0.0122 0.0122 0.5006 Mg
0.0122 0.5006 0.0122 Mg
0.1594 0.6637 0.6637 Mg
0.3152 0.3152 0.8098 Mg
0.3152 0.8098 0.3152 Mg
0.3656 0.6586 0.9594 Mg
0.3656 0.9594 0.6586 Mg
0.5006 0.0122 0.0122 Mg
0.5607 0.5607 0.5607 Mg
0.6586 0.3656 0.9594 Mg
0.6586 0.9594 0.3656 Mg
0.6637 0.1594 0.6637 Mg
0.6637 0.6637 0.1594 Mg
0.7589 0.7589 0.7589 Mg
0.8098 0.3152 0.3152 Mg
0.9594 0.3656 0.6586 Mg
0.9594 0.6586 0.3656 Mg
```

Calculated values
- Density of states at the Fermi level: 0.47 states/eV/atom
- Calculated density: 2.0 g/cm3
- Energy relative to the elements: -0.048 eV/atom

Below is crystalline BaCa5Mg2 at its relaxed geometry, with properties calculated at the PBE-GGA level.

POSCAR file:
```
BaCa5Mg2
1.0
-1.9948 5.6954 7.0558
1.9948 -5.6954 7.0558
1.9948 5.6954 -7.0558
Ba Ca Mg
1 5 2
direct
0.0000 0.0000 0.0000 Ba
0.1427 0.3596 0.7831 Ca
0.4235 0.6404 0.7831 Ca
0.5000 0.0000 0.5000 Ca
0.5765 0.3596 0.2169 Ca
0.8573 0.6404 0.2169 Ca
0.2442 0.7442 0.5000 Mg
0.7558 0.2558 0.5000 Mg
```

Calculated values
- Density of states at the Fermi level: 1.31 states/eV/atom
- Calculated density: 2.0 g/cm3
- Energy relative to the elements: 0.015 eV/atom

Below is crystalline Ba2CaMg16 at its relaxed geometry, with properties calculated at the PBE-GGA level.

POSCAR file:
```
Ba2CaMg16
1.0
5.3833 3.1081 5.2303
-5.3833 3.1081 5.2303
0.0000 -6.2161 5.2303
Ba Ca Mg
2 1 16
direct
0.0000 0.0000 0.0000 Ba
0.3167 0.3167 0.3167 Ba
0.7492 0.7492 0.7492 Ca
0.0079 0.0079 0.5004 Mg
0.0079 0.5004 0.0079 Mg
0.1655 0.6556 0.6556 Mg
0.3127 0.3127 0.8138 Mg
0.3127 0.8138 0.3127 Mg
0.3596 0.6574 0.9569 Mg
0.3596 0.9569 0.6574 Mg
0.5004 0.0079 0.0079 Mg
0.5451 0.5451 0.5451 Mg
0.6556 0.1655 0.6556 Mg
0.6556 0.6556 0.1655 Mg
0.6574 0.3596 0.9569 Mg
0.6574 0.9569 0.3596 Mg
0.8138 0.3127 0.3127 Mg
0.9569 0.3596 0.6574 Mg
0.9569 0.6574 0.3596 Mg
```

Calculated values
- Density of states at the Fermi level: 0.51 states/eV/atom
- Calculated density: 2.2 g/cm3
- Energy relative to the elements: -0.068 eV/atom

Below is crystalline Ba5CaMg4 at its relaxed geometry, with properties calculated at the PBE-GGA level.

POSCAR file:
```
Ba5CaMg4
1.0
4.3497 0.0000 0.0000
0.0000 4.3497 0.0000
0.0000 0.0000 23.1942
Ba Ca Mg
5 1 4
direct
0.0000 0.0000 0.0000 Ba
0.0000 0.0000 0.1897 Ba
0.0000 0.0000 0.3772 Ba
0.0000 0.0000 0.6228 Ba
0.0000 0.0000 0.8103 Ba
0.5000 0.5000 0.5000 Ca
0.5000 0.5000 0.0945 Mg
0.5000 0.5000 0.2851 Mg
0.5000 0.5000 0.7149 Mg
0.5000 0.5000 0.9055 Mg
```

Calculated values
- Density of states at the Fermi level: 0.90 states/eV/atom
- Calculated density: 3.1 g/cm3
- Energy relative to the elements: -0.040 eV/atom

Question: What is the calculated density in the third record?
Answer: 2.0 g/cm3

Question: energy relative to the elements of number 4 (BaCa5Mg2)?
Answer: 0.015 eV/atom

Question: calculated density of number 1 (Ba3CaMg4)?
Answer: 2.9 g/cm3

Copy entry 3 word for word.
Below is crystalline BaCaMg17 at its relaxed geometry, with properties calculated at the PBE-GGA level.

POSCAR file:
```
BaCaMg17
1.0
5.2638 3.0391 5.1418
-5.2638 3.0391 5.1418
0.0000 -6.0782 5.1418
Ba Ca Mg
1 1 17
direct
0.0000 0.0000 0.0000 Ba
0.3269 0.3269 0.3269 Ca
0.0122 0.0122 0.5006 Mg
0.0122 0.5006 0.0122 Mg
0.1594 0.6637 0.6637 Mg
0.3152 0.3152 0.8098 Mg
0.3152 0.8098 0.3152 Mg
0.3656 0.6586 0.9594 Mg
0.3656 0.9594 0.6586 Mg
0.5006 0.0122 0.0122 Mg
0.5607 0.5607 0.5607 Mg
0.6586 0.3656 0.9594 Mg
0.6586 0.9594 0.3656 Mg
0.6637 0.1594 0.6637 Mg
0.6637 0.6637 0.1594 Mg
0.7589 0.7589 0.7589 Mg
0.8098 0.3152 0.3152 Mg
0.9594 0.3656 0.6586 Mg
0.9594 0.6586 0.3656 Mg
```

Calculated values
- Density of states at the Fermi level: 0.47 states/eV/atom
- Calculated density: 2.0 g/cm3
- Energy relative to the elements: -0.048 eV/atom